DFT (PBE-GGA) results for a geometry-optimized KTa2Ag structure.

## Properties
crystal system: tetragonal
density: 10.04 Mg/m³
DOS(E_F): 4.59 states/eV/f.u.

Cell lengths 5.4882, 5.4882, 2.7932 Å; angles 90.00, 90.00, 90.00 degrees
With the nearest neighbours (Å) after each atom.
Atoms (fractional coordinates):
K: 0.0000 0.5000 0.5000  2 K 2.79, 8 Ta 3.08
Ta: 0.5000 0.5000 0.0000  2 Ta 2.79, 4 K 3.08, 4 Ag 3.08
Ta: 0.0000 0.0000 0.0000  2 Ta 2.79, 4 K 3.08, 4 Ag 3.08
Ag: 0.5000 0.0000 0.5000  2 Ag 2.79, 8 Ta 3.08


DFT (PBE-GGA) results for a geometry-optimized Pr6MgAg structure.

## Properties
crystal system: triclinic
density: 6.27 Mg/m³
DOS(E_F): 7.97 states/eV/f.u.

Cell lengths 9.2447, 8.7000, 6.3785 Å; angles 47.22, 43.59, 57.94 degrees
With the nearest neighbours (Å) after each atom.
Atoms (fractional coordinates):
Pr: 0.4459 0.7547 0.8313  1 Ag 3.17, 2 Pr 3.28-3.32, 1 Mg 3.53
Pr: 0.2447 0.0305 0.2794  1 Ag 3.20, 2 Pr 3.28-3.29, 1 Mg 3.55
Pr: 0.9679 0.5538 0.2337  1 Ag 3.18, 2 Pr 3.28, 1 Mg 3.50
Pr: 0.7553 0.9695 0.7206  1 Ag 3.20, 2 Pr 3.28-3.29, 1 Mg 3.55
Pr: 0.5541 0.2453 0.1687  1 Ag 3.17, 2 Pr 3.28-3.32, 1 Mg 3.53
Pr: 0.0321 0.4462 0.7663  1 Ag 3.18, 2 Pr 3.28, 1 Mg 3.50
Mg: 0.5000 0.5000 0.5000  12 Pr 3.50-3.67
Ag: 0.0000 0.0000 0.0000  6 Pr 3.17-3.20


DFT (PBE-GGA) results for a geometry-optimized BaAl2Au structure.

## Properties
crystal system: tetragonal
density: 6.21 Mg/m³
DOS(E_F): 2.57 states/eV/f.u.

Cell lengths 4.4925, 4.4925, 5.1465 Å; angles 90.00, 90.00, 90.00 degrees
With the nearest neighbours (Å) after each atom.
Atoms (fractional coordinates):
Al: 0.0000 0.0000 0.0000  4 Al 3.18, 4 Ba 3.42, 4 Au 3.42
Al: 0.5000 0.5000 0.0000  4 Al 3.18, 4 Ba 3.42, 4 Au 3.42
Au: 0.5000 0.0000 0.5000  4 Ba 3.18, 8 Al 3.42
Ba: 0.0000 0.5000 0.5000  4 Au 3.18, 8 Al 3.42


Number 1: ΔH_f (0 K) 1.707 eV/atom. Number 2: ΔH_f (0 K) 0.012 eV/atom. Number 3: ΔH_f (0 K) 0.008 eV/atom.